(1)
Entry from Alexandria via LeMat-Bulk: SiSb2Ir after structural relaxation (PBE).

Fermi-level density of states: 2.2 states/eV per cell
E: -5.291 eV per atom
Formation energy from raw total energies: 0.341 eV/atom
Spin magnetization: 0.00 μB per atom

a b c (Å): 3.3059 3.3059 7.3544
angles (deg): 90.00 90.00 90.00
Last column: nearest neighbours and their distance in Å.
Sites, in units of the cell vectors:
Si1 0.0000 0.0000 0.0000  8 Sb 3.09, 4 Si 3.31
Sb1 0.5000 0.5000 0.2746  4 Ir 2.87, 4 Si 3.09
Sb2 0.5000 0.5000 0.7254  4 Ir 2.87, 4 Si 3.09
Ir1 0.0000 0.0000 0.5000  8 Sb 2.87


(2)
Entry from Alexandria via LeMat-Bulk: SiSbIr2 after structural relaxation (PBE).

Fermi-level density of states: 3.0 states/eV per cell
Offset from the most stable computed form: 0.195 eV/atom
E: -6.894 eV per atom
Formation energy from raw total energies: -0.077 eV/atom
Spin magnetization: 0.00 μB per atom

a b c (Å): 8.3556 8.3556 8.3556
angles (deg): 20.87 20.87 20.87
Last column: nearest neighbours and their distance in Å.
Sites, in units of the cell vectors:
Si1 0.0000 0.0000 0.0000  6 Ir 2.49
Sb1 0.5000 0.5000 0.5000  6 Ir 2.90, 6 Sb 3.03
Ir1 0.2609 0.2609 0.2609  3 Si 2.49
Ir2 0.7391 0.7391 0.7391  3 Si 2.49


(3)
Entry from Alexandria via LeMat-Bulk: SiSbIr2 after structural relaxation (PBE).

Fermi-level density of states: 3.0 states/eV per cell
Offset from the most stable computed form: 0.772 eV/atom
E: -6.317 eV per atom
Formation energy from raw total energies: 0.500 eV/atom
Spin magnetization: 0.00 μB per atom

a b c (Å): 4.5558 4.5558 4.5558
angles (deg): 60.00 60.00 60.00
Last column: nearest neighbours and their distance in Å.
Sites, in units of the cell vectors:
Si1 0.0000 0.0000 0.0000  4 Sb 2.79, 4 Ir 2.79
Sb1 0.2500 0.2500 0.2500  4 Ir 2.79, 4 Si 2.79
Ir1 0.5000 0.5000 0.5000  4 Ir 2.79, 4 Sb 2.79
Ir2 0.7500 0.7500 0.7500  4 Ir 2.79, 4 Si 2.79


(4)
Entry from Alexandria via LeMat-Bulk: SiSbIr2 after structural relaxation (PBE).

Fermi-level density of states: 2.8 states/eV per cell
Offset from the most stable computed form: 0.447 eV/atom
E: -6.643 eV per atom
Formation energy from raw total energies: 0.174 eV/atom
Spin magnetization: 0.00 μB per atom

a b c (Å): 5.2919 5.2919 5.2919
angles (deg): 146.43 122.93 67.86
Last column: nearest neighbours and their distance in Å.
Sites, in units of the cell vectors:
Si1 0.0000 0.0000 0.0000  4 Ir 2.37
Sb1 0.5000 0.5000 0.0000  4 Si 2.95, 8 Ir 3.00-3.11, 2 Sb 3.06
Ir1 0.2059 0.7059 0.5000  2 Si 2.37
Ir2 0.7941 0.2941 0.5000  2 Si 2.37


(5)
Entry from Alexandria via LeMat-Bulk: SiSbIr2 after structural relaxation (PBE).

Fermi-level density of states: 3.0 states/eV per cell
Offset from the most stable computed form: 0.151 eV/atom
E: -6.938 eV per atom
Formation energy from raw total energies: -0.121 eV/atom
Spin magnetization: 0.00 μB per atom

a b c (Å): 3.8691 3.8691 6.5053
angles (deg): 99.73 99.73 45.80
Last column: nearest neighbours and their distance in Å.
Sites, in units of the cell vectors:
Si1 0.0000 0.0000 0.0000  6 Ir 2.42-2.44
Sb1 0.5000 0.5000 0.5000  6 Ir 2.85-2.91, 2 Sb 3.01
Ir1 0.2644 0.2644 0.8090  3 Si 2.42-2.44
Ir2 0.7356 0.7356 0.1910  3 Si 2.42-2.44


(6)
Entry from Alexandria via LeMat-Bulk: SiSbIr2 after structural relaxation (PBE).

Fermi-level density of states: 2.9 states/eV per cell
Offset from the most stable computed form: 0.362 eV/atom
E: -6.727 eV per atom
Formation energy from raw total energies: 0.090 eV/atom
Spin magnetization: 0.00 μB per atom

a b c (Å): 2.9753 2.9753 7.8768
angles (deg): 90.00 90.00 90.00
Last column: nearest neighbours and their distance in Å.
Sites, in units of the cell vectors:
Si1 0.0000 0.0000 0.0000  4 Ir 2.49
Sb1 0.5000 0.5000 0.6516  4 Ir 2.74, 4 Sb 2.98
Ir1 0.0000 0.0000 0.4284  4 Sb 2.74, 8 Ir 2.93-2.98
Ir2 0.5000 0.5000 0.1692  4 Si 2.49